Entry 1:
# Pa12FeGe6

Pa12FeGe6 after structural relaxation (PBE, Alexandria).

Cell lengths 7.624, 7.624, 7.624 Å; angles 96.60, 96.60, 96.60 degrees
Fractional coordinates of all 19 atoms:
Pa1 0.830 0.568 0.471
Pa2 0.471 0.830 0.568
Pa3 0.568 0.471 0.830
Pa4 0.170 0.432 0.529
Pa5 0.529 0.170 0.432
Pa6 0.432 0.529 0.170
Pa7 0.019 0.099 0.345
Pa8 0.901 0.655 0.981
Pa9 0.655 0.981 0.901
Pa10 0.981 0.901 0.655
Pa11 0.099 0.345 0.019
Pa12 0.345 0.019 0.099
Fe1 0.000 0.000 0.000
Ge1 0.687 0.851 0.269
Ge2 0.731 0.313 0.149
Ge3 0.149 0.731 0.313
Ge4 0.313 0.149 0.731
Ge5 0.269 0.687 0.851
Ge6 0.851 0.269 0.687

DFT formation energy	-152	meV/atom
symmetry	R-3, No. 148

Entry 2:
# Sc2AgAu

Sc2AgAu after structural relaxation (PBE, Alexandria).

Cell lengths 4.593, 4.593, 5.901 Å; angles 75.84, 75.84, 46.26 degrees
Fractional coordinates of all 4 atoms:
Ag1 0.250 0.250 0.250
Au1 0.750 0.750 0.750
Sc1 0.004 0.004 0.992
Sc2 0.496 0.496 0.508

DFT formation energy	-297	meV/atom
symmetry	C2/m, No. 12

Entry 3:
# Ac14TmTl

Ac14TmTl after structural relaxation (PBE, Alexandria).

Cell lengths 7.800, 7.800, 11.152 Å; angles 90.00, 90.00, 90.01 degrees
Fractional coordinates of all 16 atoms:
Ac1 0.375 0.625 0.500
Ac2 0.875 0.125 0.500
Ac3 0.873 0.624 0.000
Ac4 0.876 0.626 0.500
Ac5 0.376 0.127 0.000
Ac6 0.374 0.124 0.500
Ac7 0.625 0.875 0.758
Ac8 0.625 0.875 0.242
Ac9 0.125 0.375 0.758
Ac10 0.125 0.375 0.242
Ac11 0.125 0.875 0.759
Ac12 0.125 0.875 0.241
Ac13 0.625 0.375 0.757
Ac14 0.625 0.375 0.243
Tm1 0.875 0.125 0.000
Tl1 0.375 0.625 0.000

DFT formation energy	-8	meV/atom
symmetry	Amm2, No. 38

Entry 4:
# Pm5PrY2Sc

Pm5PrY2Sc after structural relaxation (PBE, Alexandria).

Cell lengths 5.386, 11.349, 10.227 Å; angles 90.00, 90.00, 103.73 degrees
Fractional coordinates of all 18 atoms:
Pm1 0.376 0.751 0.008
Pm2 0.722 0.444 0.821
Pm3 0.500 0.000 0.758
Pm4 0.279 0.558 0.697
Pm5 0.002 0.004 0.508
Pm6 0.624 0.249 0.508
Pm7 0.278 0.556 0.321
Pm8 0.500 0.000 0.258
Pm9 0.721 0.442 0.197
Pm10 0.998 0.996 0.008
Pr1 0.601 0.201 0.008
Pr2 0.399 0.799 0.508
Y1 0.883 0.766 0.759
Y2 0.118 0.236 0.756
Y3 0.117 0.234 0.259
Y4 0.882 0.764 0.256
Sc1 0.781 0.563 0.509
Sc2 0.219 0.437 0.009

DFT formation energy	129	meV/atom
symmetry	Cmc2_1, No. 36

Entry 5:
# Ta2OsPt

Ta2OsPt after structural relaxation (PBE, Alexandria).

Cell lengths 5.046, 5.046, 5.046 Å; angles 133.87, 133.94, 67.24 degrees
Fractional coordinates of all 4 atoms:
Os1 0.500 0.500 0.000
Pt1 0.250 0.750 0.500
Ta1 0.000 0.000 0.000
Ta2 0.750 0.250 0.500

DFT formation energy	-356	meV/atom
symmetry	I-4m2, No. 119

Entry 6:
# RbGe2Os

RbGe2Os after structural relaxation (PBE, Alexandria).

Cell lengths 4.204, 4.204, 7.072 Å; angles 72.71, 72.71, 60.00 degrees
Fractional coordinates of all 4 atoms:
Ge1 0.297 0.297 0.109
Ge2 0.703 0.703 0.891
Os1 0.000 0.000 0.000
Rb1 0.500 0.500 0.500

DFT formation energy	116	meV/atom
symmetry	R-3m, No. 166

Entry 7:
# CoMo2W

CoMo2W after structural relaxation (PBE, Alexandria).

Cell lengths 4.321, 4.321, 3.189 Å; angles 90.00, 90.00, 90.00 degrees
Site moments in Bohr magnetons follow the coordinates.
Fractional coordinates of all 4 atoms:
Co1 0.000 0.500 0.500  1.42
Mo1 0.000 0.000 0.000  0.26
Mo2 0.500 0.500 0.000  0.26
W1 0.500 0.000 0.500  -0.05

DFT formation energy	173	meV/atom
symmetry	P4/mmm, No. 123

Entry 8:
# RbTl2GaHg

RbTl2GaHg after structural relaxation (PBE, Alexandria).

Cell lengths 5.797, 5.797, 5.363 Å; angles 90.00, 90.00, 90.00 degrees
Fractional coordinates of all 5 atoms:
Tl1 0.000 0.500 0.000
Tl2 0.500 0.000 0.000
Ga1 0.000 0.000 0.000
Hg1 0.000 0.000 0.500
Rb1 0.500 0.500 0.500

DFT formation energy	16	meV/atom
symmetry	P4/mmm, No. 123

Entry 9:
# BaMgCd5Ag2

BaMgCd5Ag2 after structural relaxation (PBE, Alexandria).

Cell lengths 5.438, 5.438, 8.161 Å; angles 90.00, 90.00, 90.00 degrees
Fractional coordinates of all 9 atoms:
Ba1 0.000 0.000 0.500
Mg1 0.000 0.000 0.000
Cd1 0.000 0.500 0.199
Cd2 0.500 0.000 0.199
Cd3 0.000 0.500 0.801
Cd4 0.500 0.000 0.801
Cd5 0.500 0.500 0.500
Ag1 0.500 0.500 0.167
Ag2 0.500 0.500 0.833

DFT formation energy	-32	meV/atom
symmetry	P4/mmm, No. 123

Entry 10:
# AcDySb

AcDySb after structural relaxation (PBE, Alexandria).

Cell lengths 4.369, 5.236, 5.236 Å; angles 120.00, 90.00, 90.00 degrees
Fractional coordinates of all 3 atoms:
Sb1 0.503 0.333 0.667
Ac1 0.999 0.000 0.000
Dy1 0.498 0.667 0.333

symmetry	P3m1, No. 156
raw formation energy	-0.4831	eV/atom

Entry 11:
# TmMn4Ga8

TmMn4Ga8 after structural relaxation (PBE, Alexandria).

Cell lengths 5.211, 6.708, 6.708 Å; angles 81.32, 67.14, 67.14 degrees
Site moments in Bohr magnetons follow the coordinates.
Fractional coordinates of all 13 atoms:
Tm1 0.000 0.000 0.000  -0.14
Mn1 0.000 0.000 0.500  2.20
Mn2 0.500 0.000 0.500  2.20
Mn3 0.000 0.500 0.000  2.20
Mn4 0.500 0.500 0.000  2.20
Ga1 0.000 0.332 0.668  -0.05
Ga2 0.000 0.668 0.332  -0.05
Ga3 0.332 0.668 0.668  -0.05
Ga4 0.668 0.332 0.332  -0.05
Ga5 0.500 0.774 0.226  -0.07
Ga6 0.500 0.226 0.774  -0.07
Ga7 0.274 0.226 0.226  -0.07
Ga8 0.726 0.774 0.774  -0.07

DFT formation energy	-251	meV/atom
symmetry	I4/mmm, No. 139

Entry 12:
# Rb2TlAs2

Rb2TlAs2 after structural relaxation (PBE, Alexandria).

Cell lengths 7.852, 7.852, 5.614 Å; angles 90.00, 90.00, 90.00 degrees
Fractional coordinates of all 10 atoms:
Tl1 0.000 0.000 0.000
Tl2 0.500 0.500 0.000
As1 0.390 0.890 0.000
As2 0.890 0.610 0.000
As3 0.610 0.110 0.000
As4 0.110 0.390 0.000
Rb1 0.177 0.677 0.500
Rb2 0.677 0.823 0.500
Rb3 0.823 0.323 0.500
Rb4 0.323 0.177 0.500

DFT formation energy	-255	meV/atom
symmetry	P4/mbm, No. 127

no.,total moment (μB/f.u.)
1,0.0
2,0.0
3,0.0
4,0.0
5,0.0
6,0.0
7,1.9
8,0.0
9,0.0
10,0.0
11,8.4
12,0.0